a:
DFT (PBE) results for a relaxed Nd3DyTm6 crystal.

Results
Crystal system: triclinic
Space-group type: P-1 (2)

Cell: 6.4894 9.5620 6.5330 Å, 110.84 120.15 89.32°
Element x y z (fractional)
Nd1 0.8548 0.3089 0.8648
Nd2 0.1452 0.6911 0.1352
Nd3 0.0000 0.0000 0.0000
Dy1 0.5000 0.5000 0.0000
Tm1 0.4376 0.3145 0.3032
Tm2 0.9938 0.6854 0.5533
Tm3 0.5624 0.6855 0.6968
Tm4 0.0062 0.3146 0.4467
Tm5 0.3446 0.0515 0.7030
Tm6 0.6554 0.9485 0.2970

b:
DFT (PBE) results for a relaxed Nd3DyTm6 crystal.

Results
Crystal system: monoclinic
Space-group type: P2_1/m (11)

Cell: 3.5084 12.9675 14.2310 Å, 100.16 90.00 90.00°
Element x y z (fractional)
Nd1 0.7500 0.4208 0.9018
Nd2 0.2500 0.5792 0.0982
Nd3 0.7500 0.6285 0.5044
Nd4 0.2500 0.3715 0.4956
Nd5 0.7500 0.0744 0.1016
Nd6 0.2500 0.9256 0.8984
Dy1 0.7500 0.0412 0.7202
Dy2 0.2500 0.9588 0.2798
Tm1 0.7500 0.5002 0.6909
Tm2 0.2500 0.4998 0.3091
Tm3 0.7500 0.8067 0.0749
Tm4 0.2500 0.1933 0.9251
Tm5 0.7500 0.3449 0.1230
Tm6 0.2500 0.6551 0.8770
Tm7 0.7500 0.7312 0.3001
Tm8 0.2500 0.2688 0.6999
Tm9 0.7500 0.1181 0.4851
Tm10 0.2500 0.8819 0.5149
Tm11 0.7500 0.7803 0.7130
Tm12 0.2500 0.2197 0.2870

Energies relative to the most stable structure, in meV per atom: a 100; b 0.

a:
DFT (PBE) results for a relaxed NdDy6Tm3 crystal.

Results
Crystal system: orthorhombic
Space-group type: Cmc2_1 (36)

Cell: 6.1714 10.9134 10.9134 Å, 119.75 90.00 90.00°
Element x y z (fractional)
Nd1 0.1561 0.2071 0.7929
Nd2 0.6561 0.7929 0.2071
Dy1 0.0306 0.7103 0.6194
Dy2 0.5306 0.6194 0.7103
Dy3 0.3631 0.5417 0.9613
Dy4 0.8631 0.9613 0.5417
Dy5 0.4131 0.9530 0.0470
Dy6 0.6426 0.2860 0.7140
Dy7 0.1426 0.7140 0.2860
Dy8 0.9131 0.0470 0.9530
Dy9 0.3631 0.0387 0.4583
Dy10 0.8631 0.4583 0.0387
Dy11 0.0306 0.3806 0.2897
Dy12 0.5306 0.2897 0.3806
Tm1 0.4553 0.9348 0.7174
Tm2 0.9553 0.7174 0.9348
Tm3 0.0756 0.3894 0.6106
Tm4 0.5756 0.6106 0.3894
Tm5 0.9553 0.0652 0.2826
Tm6 0.4553 0.2826 0.0652

b:
DFT (PBE) results for a relaxed NdDy6Tm3 crystal.

Results
Crystal system: orthorhombic
Space-group type: Cmc2_1 (36)

Cell: 6.3575 11.4703 11.4703 Å, 130.52 90.00 90.00°
Element x y z (fractional)
Nd1 0.0091 0.1619 0.8381
Nd2 0.5091 0.8381 0.1619
Dy1 0.0735 0.7381 0.6210
Dy2 0.5735 0.6210 0.7381
Dy3 0.3300 0.4571 0.8947
Dy4 0.8300 0.8947 0.4571
Dy5 0.3101 0.9847 0.0153
Dy6 0.7885 0.3016 0.6984
Dy7 0.2885 0.6984 0.3016
Dy8 0.8101 0.0153 0.9847
Dy9 0.3300 0.1053 0.5429
Dy10 0.8300 0.5429 0.1053
Dy11 0.0735 0.3790 0.2619
Dy12 0.5735 0.2619 0.3790
Tm1 0.4860 0.9561 0.7040
Tm2 0.9860 0.7040 0.9561
Tm3 0.0987 0.4179 0.5821
Tm4 0.5987 0.5821 0.4179
Tm5 0.9860 0.0439 0.2960
Tm6 0.4860 0.2960 0.0439

Energies relative to the most stable structure, in meV per atom: a 26; b 0.

a:
DFT (PBE) results for a relaxed NdDy3Tm crystal.

Results
Crystal system: monoclinic
Space-group type: P2_1/m (11)

Cell: 3.6305 8.4955 11.5962 Å, 90.00 90.00 102.32°
Element x y z (fractional)
Nd1 0.3075 0.1140 0.2500
Nd2 0.6925 0.8860 0.7500
Dy1 0.8481 0.1967 0.9985
Dy2 0.1519 0.8033 0.0015
Dy3 0.8481 0.1967 0.5015
Dy4 0.1519 0.8033 0.4985
Dy5 0.6436 0.7864 0.2500
Dy6 0.3564 0.2136 0.7500
Tm1 0.9805 0.4595 0.2500
Tm2 0.0195 0.5405 0.7500

b:
DFT (PBE) results for a relaxed NdDy3Tm crystal.

Results
Crystal system: triclinic
Space-group type: P-1 (2)

Cell: 4.9508 9.9685 8.2044 Å, 119.66 90.01 104.37°
Element x y z (fractional)
Nd1 0.3800 0.7607 0.4143
Nd2 0.6200 0.2393 0.5857
Dy1 0.2722 0.5445 0.6734
Dy2 0.5565 0.1131 0.9101
Dy3 0.0842 0.1685 0.2337
Dy4 0.7278 0.4555 0.3266
Dy5 0.9158 0.8315 0.7663
Dy6 0.4435 0.8869 0.0899
Tm1 0.1875 0.3752 0.9780
Tm2 0.8125 0.6248 0.0220

Energies relative to the most stable structure, in meV per atom: a 158; b 0.